# 1
A geometry-optimized Li2IrO4 structure. Source: Alexandria, functional PBE.

The offset from the most stable computed form comes out at 244.3 meV per atom. The value obtained for the spin magnetization is 1.7 μB/cell. The value obtained for the uncorrected formation energy is -7.0 eV/f.u. As for the space group: I4/mmm (139).

```
data_Li2IrO4
_chemical_formula_sum 'Li2 Ir1 O4'
_cell_length_a 3.927
_cell_length_b 3.927
_cell_length_c 5.872
_cell_angle_alpha 70.47
_cell_angle_beta 70.47
_cell_angle_gamma 90.00
_space_group_name_H-M_alt 'P 1'
_space_group_IT_number 1
_space_group_name_Hall 'P 1'
loop_
_atom_site_label
_atom_site_fract_x
_atom_site_fract_y
_atom_site_fract_z
_atom_site_occupancy
Li1 0.361 0.361 0.277 1
O1 0.500 0.000 0.000 1
O2 0.180 0.180 0.640 1
Ir1 0.000 0.000 0.000 1
Li2 0.639 0.639 0.723 1
O3 0.000 0.500 0.000 1
O4 0.820 0.820 0.360 1
```

=====

# 2
A geometry-optimized Ho2ZrGe2Rh5 structure. Source: Alexandria, functional PBE.

The value obtained for the spin magnetization is 0.0 μB/cell. The uncorrected energy comes out at -72.43 eV/f.u. As for the space group: P4/mbm (127).

```
data_Ho2ZrGe2Rh5
_chemical_formula_sum 'Ho4 Zr2 Ge4 Rh10'
_cell_length_a 3.651
_cell_length_b 9.810
_cell_length_c 9.810
_cell_angle_alpha 90.00
_cell_angle_beta 90.00
_cell_angle_gamma 90.00
_space_group_name_H-M_alt 'P 1'
_space_group_IT_number 1
_space_group_name_Hall 'P 1'
loop_
_atom_site_label
_atom_site_fract_x
_atom_site_fract_y
_atom_site_fract_z
_atom_site_occupancy
Rh1 0.500 0.932 0.210 1
Ho1 0.000 0.827 0.673 1
Rh2 0.500 0.710 0.432 1
Zr1 0.000 0.500 0.500 1
Ho2 0.000 0.327 0.827 1
Ho3 0.000 0.173 0.327 1
Rh3 0.500 0.568 0.710 1
Ge1 0.000 0.875 0.375 1
Rh4 0.500 0.432 0.290 1
Ge2 0.000 0.625 0.875 1
Ge3 0.000 0.125 0.625 1
Rh5 0.500 0.290 0.568 1
Rh6 0.500 0.210 0.068 1
Rh7 0.500 0.790 0.932 1
Rh8 0.500 0.500 0.000 1
Rh9 0.500 0.000 0.500 1
Ge4 0.000 0.375 0.125 1
Rh10 0.500 0.068 0.790 1
Zr2 0.000 0.000 0.000 1
Ho4 0.000 0.673 0.173 1
```

=====

# 3
A geometry-optimized Rb2PuGaTe4 structure. Source: Alexandria, functional PBE.

The value obtained for the spin magnetization is 5.0 μB/cell. The value obtained for the uncorrected formation energy is -6.2 eV/f.u. As for the space group: I-42m (121).

```
data_Rb2PuGaTe4
_chemical_formula_sum 'Rb2 Pu1 Ga1 Te4'
_cell_length_a 7.654
_cell_length_b 7.381
_cell_length_c 7.381
_cell_angle_alpha 74.41
_cell_angle_beta 58.77
_cell_angle_gamma 58.77
_space_group_name_H-M_alt 'P 1'
_space_group_IT_number 1
_space_group_name_Hall 'P 1'
loop_
_atom_site_label
_atom_site_fract_x
_atom_site_fract_y
_atom_site_fract_z
_atom_site_occupancy
Te1 0.884 0.000 0.661 1
Te2 0.456 0.661 0.000 1
Ga1 0.500 0.000 0.000 1
Pu1 0.000 0.000 0.000 1
Rb1 0.000 0.500 0.500 1
Te3 0.116 0.339 0.000 1
Te4 0.544 0.000 0.339 1
Rb2 0.500 0.500 0.500 1
```

=====

# 4
A geometry-optimized Ca5YSb4 structure. Source: Alexandria, functional PBE.

The value obtained for the spin magnetization is 0.9 μB/cell. The value obtained for the uncorrected formation energy is -8.8 eV/f.u. As for the space group: Immm (71).

```
data_Ca5YSb4
_chemical_formula_sum 'Ca5 Y1 Sb4'
_cell_length_a 4.683
_cell_length_b 8.421
_cell_length_c 10.211
_cell_angle_alpha 114.37
_cell_angle_beta 103.26
_cell_angle_gamma 90.00
_space_group_name_H-M_alt 'P 1'
_space_group_IT_number 1
_space_group_name_Hall 'P 1'
loop_
_atom_site_label
_atom_site_fract_x
_atom_site_fract_y
_atom_site_fract_z
_atom_site_occupancy
Sb1 0.000 0.250 0.000 1
Sb2 0.303 0.803 0.606 1
Ca1 0.168 0.407 0.337 1
Ca2 0.500 0.500 0.000 1
Ca3 0.832 0.071 0.663 1
Sb3 0.000 0.750 0.000 1
Y1 0.500 0.000 0.000 1
Ca4 0.168 0.929 0.337 1
Ca5 0.832 0.593 0.663 1
Sb4 0.697 0.197 0.394 1
```

=====

# 5
A geometry-optimized Dy2B10Os structure. Source: Alexandria, functional PBE.

The value obtained for the spin magnetization is 0.0 μB/cell. The uncorrected energy comes out at -93.32 eV/f.u. As for the space group: Pbam (55).

```
data_Dy2B10Os
_chemical_formula_sum 'Dy4 B20 Os2'
_cell_length_a 4.180
_cell_length_b 5.716
_cell_length_c 11.357
_cell_angle_alpha 90.00
_cell_angle_beta 90.00
_cell_angle_gamma 90.00
_space_group_name_H-M_alt 'P 1'
_space_group_IT_number 1
_space_group_name_Hall 'P 1'
loop_
_atom_site_label
_atom_site_fract_x
_atom_site_fract_y
_atom_site_fract_z
_atom_site_occupancy
B1 0.700 0.276 0.619 1
B2 0.300 0.224 0.119 1
B3 0.000 0.380 0.041 1
Dy1 0.500 0.274 0.871 1
B4 0.000 0.942 0.807 1
B5 0.000 0.880 0.459 1
B6 0.000 0.120 0.541 1
Dy2 0.500 0.226 0.371 1
Dy3 0.500 0.726 0.129 1
B7 0.000 0.867 0.303 1
B8 0.000 0.620 0.959 1
B9 0.000 0.367 0.197 1
B10 0.000 0.133 0.697 1
B11 0.700 0.224 0.119 1
Os1 0.000 0.000 0.000 1
B12 0.000 0.558 0.307 1
B13 0.300 0.724 0.381 1
B14 0.000 0.633 0.803 1
B15 0.000 0.442 0.693 1
Dy4 0.500 0.774 0.629 1
B16 0.700 0.724 0.381 1
B17 0.300 0.276 0.619 1
B18 0.000 0.058 0.193 1
B19 0.700 0.776 0.881 1
Os2 0.000 0.500 0.500 1
B20 0.300 0.776 0.881 1
```

=====

# 6
A geometry-optimized Tl2ZnCuHg structure. Source: Alexandria, functional PBE.

The value obtained for the spin magnetization is 0.0 μB/cell. The uncorrected energy comes out at -9.50 eV/f.u. As for the space group: P4/mmm (123).

```
data_Tl2ZnCuHg
_chemical_formula_sum 'Tl2 Zn1 Cu1 Hg1'
_cell_length_a 5.319
_cell_length_b 5.319
_cell_length_c 4.784
_cell_angle_alpha 90.00
_cell_angle_beta 90.00
_cell_angle_gamma 90.00
_space_group_name_H-M_alt 'P 1'
_space_group_IT_number 1
_space_group_name_Hall 'P 1'
loop_
_atom_site_label
_atom_site_fract_x
_atom_site_fract_y
_atom_site_fract_z
_atom_site_occupancy
Tl1 0.500 0.000 0.000 1
Cu1 0.000 0.000 0.000 1
Zn1 0.000 0.000 0.500 1
Hg1 0.500 0.500 0.500 1
Tl2 0.000 0.500 0.000 1
```

=====

# 7
A geometry-optimized NaMn3Pb structure. Source: Alexandria, functional PBE.

The offset from the most stable computed form comes out at 323.0 meV per atom. The value obtained for the spin magnetization is 11.8 μB/cell. As for the space group: Pm-3m (221).

```
data_NaMn3Pb
_chemical_formula_sum 'Na1 Mn3 Pb1'
_cell_length_a 4.828
_cell_length_b 4.828
_cell_length_c 4.828
_cell_angle_alpha 90.00
_cell_angle_beta 90.00
_cell_angle_gamma 90.00
_space_group_name_H-M_alt 'P 1'
_space_group_IT_number 1
_space_group_name_Hall 'P 1'
loop_
_atom_site_label
_atom_site_fract_x
_atom_site_fract_y
_atom_site_fract_z
_atom_site_occupancy
Mn1 0.000 0.000 0.500 1
Mn2 0.500 0.000 0.000 1
Na1 0.000 0.000 0.000 1
Pb1 0.500 0.500 0.500 1
Mn3 0.000 0.500 0.000 1
```

=====

# 8
A geometry-optimized YHo2Cu2 structure. Source: Alexandria, functional PBE.

The offset from the most stable computed form comes out at 64.2 meV per atom. The value obtained for the spin magnetization is 0.0 μB/cell. As for the space group: P2_1/m (11).

```
data_YHo2Cu2
_chemical_formula_sum 'Y2 Ho4 Cu4'
_cell_length_a 4.574
_cell_length_b 4.997
_cell_length_c 10.705
_cell_angle_alpha 97.09
_cell_angle_beta 90.00
_cell_angle_gamma 90.00
_space_group_name_H-M_alt 'P 1'
_space_group_IT_number 1
_space_group_name_Hall 'P 1'
loop_
_atom_site_label
_atom_site_fract_x
_atom_site_fract_y
_atom_site_fract_z
_atom_site_occupancy
Ho1 0.250 0.251 0.504 1
Ho2 0.750 0.749 0.496 1
Ho3 0.750 0.156 0.113 1
Y1 0.250 0.690 0.239 1
Cu1 0.750 0.625 0.010 1
Y2 0.750 0.310 0.761 1
Cu2 0.250 0.375 0.990 1
Cu3 0.750 0.211 0.363 1
Cu4 0.250 0.789 0.637 1
Ho4 0.250 0.844 0.887 1
```

=====

# 9
A geometry-optimized BePtW structure. Source: Alexandria, functional PBE.

The offset from the most stable computed form comes out at 62.0 meV per atom. The value obtained for the spin magnetization is 0.0 μB/cell. As for the space group: Pm (6).

```
data_BePtW
_chemical_formula_sum 'Be2 Pt2 W2'
_cell_length_a 3.144
_cell_length_b 3.476
_cell_length_c 7.391
_cell_angle_alpha 90.00
_cell_angle_beta 101.58
_cell_angle_gamma 90.00
_space_group_name_H-M_alt 'P 1'
_space_group_IT_number 1
_space_group_name_Hall 'P 1'
loop_
_atom_site_label
_atom_site_fract_x
_atom_site_fract_y
_atom_site_fract_z
_atom_site_occupancy
Pt1 0.402 0.679 0.513 1
W1 0.566 0.179 0.868 1
Be1 0.014 0.679 0.751 1
Be2 0.938 0.179 0.585 1
Pt2 0.784 0.179 0.269 1
W2 0.204 0.678 0.090 1
```

=====

# 10
A geometry-optimized Ho2ThCd structure. Source: Alexandria, functional PBE.

The offset from the most stable computed form comes out at 0.0 meV per atom. The value obtained for the spin magnetization is 0.0 μB/cell. As for the space group: P4/mmm (123).

```
data_Ho2ThCd
_chemical_formula_sum 'Ho2 Th1 Cd1'
_cell_length_a 3.603
_cell_length_b 3.603
_cell_length_c 8.811
_cell_angle_alpha 90.00
_cell_angle_beta 90.00
_cell_angle_gamma 90.00
_space_group_name_H-M_alt 'P 1'
_space_group_IT_number 1
_space_group_name_Hall 'P 1'
loop_
_atom_site_label
_atom_site_fract_x
_atom_site_fract_y
_atom_site_fract_z
_atom_site_occupancy
Ho1 0.000 0.000 0.770 1
Cd1 0.500 0.500 0.000 1
Th1 0.500 0.500 0.500 1
Ho2 0.000 0.000 0.230 1
```

=====

# 11
A geometry-optimized Ca2ErP3Rh12 structure. Source: Alexandria, functional PBE.

The value obtained for the spin magnetization is 0.0 μB/cell. The uncorrected energy comes out at -118.41 eV/f.u. As for the space group: R-3m (166).

```
data_Ca2ErP3Rh12
_chemical_formula_sum 'Ca2 Er1 P3 Rh12'
_cell_length_a 6.661
_cell_length_b 6.661
_cell_length_c 6.661
_cell_angle_alpha 83.60
_cell_angle_beta 83.60
_cell_angle_gamma 83.60
_space_group_name_H-M_alt 'P 1'
_space_group_IT_number 1
_space_group_name_Hall 'P 1'
loop_
_atom_site_label
_atom_site_fract_x
_atom_site_fract_y
_atom_site_fract_z
_atom_site_occupancy
Rh1 0.182 0.662 0.182 1
P1 0.000 0.500 0.000 1
Er1 0.000 0.000 0.000 1
Rh2 0.920 0.365 0.365 1
Rh3 0.365 0.920 0.365 1
Rh4 0.662 0.182 0.182 1
Rh5 0.365 0.365 0.920 1
P2 0.000 0.000 0.500 1
Rh6 0.635 0.635 0.080 1
Ca1 0.616 0.616 0.616 1
Rh7 0.818 0.338 0.818 1
Ca2 0.384 0.384 0.384 1
Rh8 0.635 0.080 0.635 1
Rh9 0.182 0.182 0.662 1
Rh10 0.338 0.818 0.818 1
Rh11 0.818 0.818 0.338 1
Rh12 0.080 0.635 0.635 1
P3 0.500 0.000 0.000 1
```